DFT (PBE-GGA) results for LiPm2TlS4 after structural relaxation.

a b c (Å): 4.124 7.196 14.296
angles (deg): 90.00 90.00 106.65
Fractional positions:
Li (0.829, 0.659, 0.750)
Li (0.171, 0.341, 0.250)
Pm (0.366, 0.732, 0.560)
Pm (0.634, 0.268, 0.060)
Pm (0.634, 0.268, 0.440)
Pm (0.366, 0.732, 0.940)
Tl (0.099, 0.198, 0.750)
Tl (0.901, 0.802, 0.250)
S (0.261, 0.522, 0.108)
S (0.739, 0.478, 0.608)
S (0.739, 0.478, 0.892)
S (0.261, 0.522, 0.392)
S (0.000, 0.000, 0.500)
S (0.000, 0.000, 0.000)
S (0.423, 0.846, 0.750)
S (0.577, 0.154, 0.250)

For the total magnetic moment, the calculation gives 0.000 μB per atom. The value obtained for the density of states at the Fermi level is 0.00 states/eV/cell. The energy relative to the elements, uncorrected comes out at -1625 meV per atom.